[1]
# Cs2K2Se (PBE-GGA, relaxed)
data_Cs2K2Se
_cell_length_a 9.1881
_cell_length_b 9.1881
_cell_length_c 7.9506
_cell_angle_alpha 90.00
_cell_angle_beta 90.00
_cell_angle_gamma 90.00
_space_group_name_H-M_alt 'P 1'
_space_group_IT_number 1
_space_group_name_Hall 'P 1'
loop_
_atom_site_label
_atom_site_type_symbol
_atom_site_fract_x
_atom_site_fract_y
_atom_site_fract_z
Cs1 Cs 0.1620 0.3380 0.0000
Cs2 Cs 0.3380 0.8380 0.0000
Cs3 Cs 0.6620 0.1620 0.0000
Cs4 Cs 0.8380 0.6620 0.0000
K1 K 0.1803 0.6803 0.5000
K2 K 0.3197 0.1803 0.5000
K3 K 0.6803 0.8197 0.5000
K4 K 0.8197 0.3197 0.5000
Se1 Se 0.0000 0.0000 0.0000
Se2 Se 0.5000 0.5000 0.0000
# total energy = -0.069 Ha/atom

[2]
# TeRu2Cl (PBE-GGA, relaxed)
data_TeRu2Cl
_cell_length_a 7.9887
_cell_length_b 7.9887
_cell_length_c 7.9887
_cell_angle_alpha 23.24
_cell_angle_beta 23.24
_cell_angle_gamma 23.24
_space_group_name_H-M_alt 'P 1'
_space_group_IT_number 1
_space_group_name_Hall 'P 1'
loop_
_atom_site_label
_atom_site_type_symbol
_atom_site_fract_x
_atom_site_fract_y
_atom_site_fract_z
Te1 Te 0.0000 0.0000 0.0000
Ru1 Ru 0.2535 0.2535 0.2535
Ru2 Ru 0.7465 0.7465 0.7465
Cl1 Cl 0.5000 0.5000 0.5000
# polymorph energy (0 for the lowest one) = 271 meV/atom

[3]
# LiZnCl4 (PBE-GGA, relaxed)
data_LiZnCl4
_cell_length_a 6.0563
_cell_length_b 6.0563
_cell_length_c 6.0563
_cell_angle_alpha 60.00
_cell_angle_beta 60.00
_cell_angle_gamma 60.00
_space_group_name_H-M_alt 'P 1'
_space_group_IT_number 1
_space_group_name_Hall 'P 1'
loop_
_atom_site_label
_atom_site_type_symbol
_atom_site_fract_x
_atom_site_fract_y
_atom_site_fract_z
Li1 Li 0.0000 0.0000 0.0000
Zn1 Zn 0.7500 0.7500 0.7500
Cl1 Cl 0.3747 0.3747 0.3747
Cl2 Cl 0.3747 0.3747 0.8758
Cl3 Cl 0.3747 0.8758 0.3747
Cl4 Cl 0.8758 0.3747 0.3747
# polymorph energy (0 for the lowest one) = 1095 meV/atom

[4]
# Tc3AsBr (PBE-GGA, relaxed)
data_Tc3AsBr
_cell_length_a 4.6688
_cell_length_b 4.6688
_cell_length_c 4.6688
_cell_angle_alpha 90.00
_cell_angle_beta 90.00
_cell_angle_gamma 90.00
_space_group_name_H-M_alt 'P 1'
_space_group_IT_number 1
_space_group_name_Hall 'P 1'
loop_
_atom_site_label
_atom_site_type_symbol
_atom_site_fract_x
_atom_site_fract_y
_atom_site_fract_z
Tc1 Tc 0.0000 0.0000 0.5000
Tc2 Tc 0.0000 0.5000 0.0000
Tc3 Tc 0.5000 0.0000 0.0000
As1 As 0.0000 0.0000 0.0000
Br1 Br 0.5000 0.5000 0.5000
# polymorph energy (0 for the lowest one) = 0 meV/atom

[5]
# LaZr2Tl2 (PBE-GGA, relaxed)
data_LaZr2Tl2
_cell_length_a 8.9552
_cell_length_b 8.9552
_cell_length_c 3.2165
_cell_angle_alpha 90.00
_cell_angle_beta 90.00
_cell_angle_gamma 90.00
_space_group_name_H-M_alt 'P 1'
_space_group_IT_number 1
_space_group_name_Hall 'P 1'
loop_
_atom_site_label
_atom_site_type_symbol
_atom_site_fract_x
_atom_site_fract_y
_atom_site_fract_z
La1 La 0.0000 0.0000 0.0000
La2 La 0.5000 0.5000 0.0000
Zr1 Zr 0.1214 0.3786 0.0000
Zr2 Zr 0.3786 0.8786 0.0000
Zr3 Zr 0.6214 0.1214 0.0000
Zr4 Zr 0.8786 0.6214 0.0000
Tl1 Tl 0.1743 0.6743 0.5000
Tl2 Tl 0.3257 0.1743 0.5000
Tl3 Tl 0.6743 0.8257 0.5000
Tl4 Tl 0.8257 0.3257 0.5000
# polymorph energy (0 for the lowest one) = 31 meV/atom

[6]
# Zr2ReCl (PBE-GGA, relaxed)
data_Zr2ReCl
_cell_length_a 3.4303
_cell_length_b 3.4303
_cell_length_c 7.8982
_cell_angle_alpha 90.00
_cell_angle_beta 90.00
_cell_angle_gamma 90.00
_space_group_name_H-M_alt 'P 1'
_space_group_IT_number 1
_space_group_name_Hall 'P 1'
loop_
_atom_site_label
_atom_site_type_symbol
_atom_site_fract_x
_atom_site_fract_y
_atom_site_fract_z
Zr1 Zr 0.0000 0.0000 0.0000
Zr2 Zr 0.5000 0.5000 0.2238
Re1 Re 0.5000 0.5000 0.8503
Cl1 Cl 0.0000 0.0000 0.4182
# polymorph energy (0 for the lowest one) = 721 meV/atom